# 1
Here is a geometry-optimized Mg3Ag2 structure from the Alexandria database. Energies are from PBE.

Calculated values
Its raw total energy is -33.39 eV/cell. The spin magnetization comes out at 0.000 μB per cell. The value obtained for the formation energy is -0.1287 eV per atom. As for the volume: 308.71 Å³ per cell.

Cell lengths 7.067, 7.067, 7.067 Å; angles 71.63, 71.63, 71.63 degrees
Sites, in units of the cell vectors:
Ag 0.599 0.165 0.950
Ag 0.835 0.050 0.401
Ag 0.950 0.599 0.165
Ag 0.401 0.835 0.050
Ag 0.165 0.950 0.599
Ag 0.050 0.401 0.835
Mg 0.790 0.790 0.790
Mg 0.420 0.167 0.639
Mg 0.833 0.361 0.580
Mg 0.000 0.000 0.000
Mg 0.580 0.833 0.361
Mg 0.167 0.639 0.420
Mg 0.361 0.580 0.833
Mg 0.639 0.420 0.167
Mg 0.210 0.210 0.210



# 2
Here is a geometry-optimized TbPm4Y2 structure from the Alexandria database. Energies are from PBE.

Calculated values
Its raw total energy is -141.94 eV/cell. The spin magnetization comes out at 0.000 μB per cell. The value obtained for the formation energy is 0.1538 eV per atom. As for the volume: 951.82 Å³ per cell.

Cell lengths 5.346, 11.461, 15.535 Å; angles 90.00, 90.00, 90.00 degrees
Sites, in units of the cell vectors:
Pm 0.000 0.208 0.930
Pm 0.000 0.792 0.070
Pm 0.000 0.103 0.694
Pm 0.500 0.292 0.070
Pm 0.000 0.292 0.430
Pm 0.000 0.397 0.194
Pm 0.000 0.603 0.806
Pm 0.000 0.708 0.570
Pm 0.500 0.603 0.694
Pm 0.500 0.708 0.930
Pm 0.500 0.208 0.570
Pm 0.500 0.897 0.194
Pm 0.500 0.103 0.806
Pm 0.000 0.897 0.306
Pm 0.500 0.792 0.430
Pm 0.500 0.397 0.306
Tb 0.500 0.000 0.000
Tb 0.500 0.500 0.500
Tb 0.000 0.500 0.000
Tb 0.000 0.000 0.500
Y 0.000 0.104 0.157
Y 0.000 0.396 0.657
Y 0.500 0.604 0.157
Y 0.000 0.604 0.343
Y 0.500 0.396 0.843
Y 0.000 0.896 0.843
Y 0.500 0.104 0.343
Y 0.500 0.896 0.657



# 3
Here is a geometry-optimized La2MgW structure from the Alexandria database. Energies are from PBE.

Calculated values
Its raw total energy is -42.91 eV/cell. The spin magnetization comes out at 0.324 μB per cell. The value obtained for the formation energy is 0.7364 eV per atom. As for the volume: 224.76 Å³ per cell.

Cell lengths 8.502, 8.502, 6.768 Å; angles 51.09, 51.09, 90.00 degrees
Sites, in units of the cell vectors:
La 0.375 0.321 0.750
La 0.071 0.625 0.250
La 0.679 0.125 0.250
La 0.875 0.929 0.750
W 0.000 0.000 0.000
W 0.750 0.250 0.500
Mg 0.250 0.750 0.500
Mg 0.500 0.500 0.000



# 4
Here is a geometry-optimized Co2WSe structure from the Alexandria database. Energies are from PBE.

Calculated values
Its raw total energy is -29.83 eV/cell. The spin magnetization comes out at 0.000 μB per cell. The value obtained for the uncorrected formation energy is 0.21 eV per atom. As for the volume: 54.50 Å³ per cell.

Cell lengths 3.266, 3.081, 5.631 Å; angles 74.13, 90.00, 90.00 degrees
Sites, in units of the cell vectors:
Co 0.000 0.934 0.005
Co 0.500 0.299 0.278
W 0.500 0.542 0.792
Se 0.000 0.725 0.425



# 5
Here is a geometry-optimized ErTh2Ni structure from the Alexandria database. Energies are from PBE.

Calculated values
Its raw total energy is -103.99 eV/cell. The spin magnetization comes out at 0.000 μB per cell. The value obtained for the formation energy is -0.2035 eV per atom. As for the volume: 427.11 Å³ per cell.

Cell lengths 6.155, 6.976, 9.948 Å; angles 90.00, 90.00, 90.00 degrees
Sites, in units of the cell vectors:
Th 0.345 0.184 0.063
Th 0.345 0.184 0.437
Th 0.655 0.816 0.563
Th 0.845 0.316 0.563
Th 0.845 0.316 0.937
Th 0.155 0.684 0.063
Th 0.655 0.816 0.937
Th 0.155 0.684 0.437
Ni 0.401 0.891 0.250
Ni 0.099 0.391 0.250
Ni 0.599 0.109 0.750
Ni 0.901 0.609 0.750
Er 0.660 0.547 0.250
Er 0.160 0.953 0.750
Er 0.840 0.047 0.250
Er 0.340 0.453 0.750



# 6
Here is a geometry-optimized K3NaLi structure from the Alexandria database. Energies are from PBE.

Calculated values
Its raw total energy is -5.56 eV/cell. The spin magnetization comes out at 0.000 μB per cell. The value obtained for the formation energy is 0.1936 eV per atom. As for the volume: 324.68 Å³ per cell.

Cell lengths 6.873, 6.873, 6.873 Å; angles 90.00, 90.00, 90.00 degrees
Sites, in units of the cell vectors:
Na 0.500 0.500 0.500
Li 0.000 0.000 0.000
K 0.500 0.000 0.000
K 0.000 0.000 0.500
K 0.000 0.500 0.000



# 7
Here is a geometry-optimized HgPb2W structure from the Alexandria database. Energies are from PBE.

Calculated values
Its raw total energy is -16.68 eV/cell. The spin magnetization comes out at 1.319 μB per cell. The value obtained for the formation energy is 0.9986 eV per atom. As for the volume: 93.99 Å³ per cell.

Cell lengths 5.809, 5.809, 5.809 Å; angles 135.80, 135.80, 64.29 degrees
Sites, in units of the cell vectors:
Hg 0.750 0.250 0.500
W 0.500 0.500 0.000
Pb 0.250 0.750 0.500
Pb 0.000 0.000 0.000



# 8
Here is a geometry-optimized Pm3SmSn6 structure from the Alexandria database. Energies are from PBE.

Calculated values
Its raw total energy is -95.96 eV/cell. The spin magnetization comes out at 0.000 μB per cell. The value obtained for the formation energy is -0.4993 eV per atom. As for the volume: 589.51 Å³ per cell.

Cell lengths 7.368, 9.653, 8.323 Å; angles 90.00, 84.82, 90.00 degrees
Sites, in units of the cell vectors:
Pm 0.467 0.098 0.294
Pm 0.533 0.902 0.706
Pm 0.000 0.000 0.500
Pm 0.033 0.598 0.206
Pm 0.967 0.402 0.794
Pm 0.500 0.500 0.000
Sn 0.704 0.229 0.573
Sn 0.634 0.171 0.927
Sn 0.134 0.329 0.427
Sn 0.704 0.816 0.299
Sn 0.204 0.684 0.799
Sn 0.796 0.316 0.201
Sn 0.796 0.729 0.927
Sn 0.366 0.829 0.073
Sn 0.866 0.671 0.573
Sn 0.204 0.271 0.073
Sn 0.296 0.184 0.701
Sn 0.296 0.771 0.427
Sm 0.500 0.500 0.500
Sm 0.000 0.000 0.000